1.
Here is a PBEsol-optimized structure of LiMg2Au from the Alexandria database. Energies are from SCAN.

The structure in extended XYZ format:
```
4
Lattice="-3.562 -2.615 1.239 2.070 -0.710 -4.045 2.159 -1.092 3.900" Properties=species:S:1:pos:R:3 pbc="T T T"
Li 1.079 -0.546 1.950
Au -1.781 -1.307 0.619
Mg 0.684 -1.282 -0.738
Mg -0.017 -3.135 1.832
```

- volume (Å³ per atom) = 17.157
- theoretical density (Mg/m³) = 6.11
- total magnetization (μB/atom) = 0.00
- uncorrected energy (Ry/atom) = -1.545

2.
Here is a PBEsol-optimized structure of Mg2TaSe from the Alexandria database. Energies are from SCAN.

The structure in extended XYZ format:
```
4
Lattice="-0.396 -2.413 2.032 4.701 -1.833 -1.259 -0.418 3.379 3.931" Properties=species:S:1:pos:R:3 pbc="T T T"
Se -0.198 -1.206 1.016
Mg -0.209 1.690 1.965
Mg 2.351 -0.916 -0.630
Ta 1.944 -0.433 2.352
```

- volume (Å³ per atom) = 18.802
- theoretical density (Mg/m³) = 6.81
- total magnetization (μB/atom) = 0.00
- raw formation energy (kcal/mol of atoms) = 2.2